# 1
A relaxed Rb2SrScBr6 crystal. Source: the Alexandria database, functional PBE-GGA.

Cell lengths 7.9932, 11.4772, 8.2342 Å; angles 90.00, 90.00, 90.00 degrees
With the nearest neighbours (Å) after each atom.
Space group Pmmn (No. 59, origin choice 2)
Inequivalent atoms, fractional coordinates:
1 Rb 0.2500 0.0191 0.2283 (multiplicity 4)  9 Br 3.84-4.11
2 Sr 0.2500 0.2500 0.7391 (multiplicity 2)  6 Br 2.99-3.01
3 Sc 0.2500 0.7500 0.7585 (multiplicity 2)  6 Br 2.73-2.75
4 Br 0.0059 0.7500 0.5257 (multiplicity 4)  1 Sc 2.73, 1 Sr 2.99
5 Br 0.0092 0.7500 0.9963 (multiplicity 4)  1 Sc 2.75, 1 Sr 3.01
6 Br 0.2500 0.5108 0.7627 (multiplicity 4)  1 Sc 2.75, 1 Sr 3.00

Values from the calculation:
The raw formation energy is -1.73 eV/atom.

# 2
A relaxed CuPIr crystal. Source: the Alexandria database, functional PBE-GGA.

Cell lengths 5.6746, 5.6746, 5.6746 Å; angles 90.00, 90.00, 90.00 degrees
With the nearest neighbours (Å) after each atom.
Space group F-43m (No. 216)
Inequivalent atoms, fractional coordinates:
1 Cu 0.0000 0.0000 0.0000 (multiplicity 4)  4 Ir 2.46
2 P 0.0000 0.0000 0.5000 (multiplicity 4)  4 Ir 2.46
3 Ir 0.2500 0.2500 0.2500 (multiplicity 4)  4 Cu 2.46, 4 P 2.46

Values from the calculation:
As for the energy of formation from the pure elements: 0.02 eV/atom. The calculation puts the energy relative to the lowest polymorph listed for this composition at 190 meV/atom.

# 3
A relaxed DyGa6Ir3 crystal. Source: the Alexandria database, functional PBE-GGA.

Cell lengths 8.2912, 3.9818, 10.8683 Å; angles 90.00, 99.90, 90.00 degrees
With the nearest neighbours (Å) after each atom.
Space group P2_1/m (No. 11)
Inequivalent atoms, fractional coordinates:
1 Dy 0.0131 0.2500 0.2236 (multiplicity 2)  5 Ga 2.76-2.96, 3 Ir 2.92-2.94
2 Ga 0.1364 0.7500 0.4135 (multiplicity 2)  2 Ir 2.48
3 Ga 0.1910 0.2500 0.9345 (multiplicity 2)  5 Ir 2.54-2.72
4 Ga 0.2231 0.2500 0.6757 (multiplicity 2)  3 Ir 2.63-2.73, 3 Ga 2.69-2.87
5 Ga 0.3427 0.2500 0.2092 (multiplicity 2)  3 Ga 2.61-2.69, 4 Ir 2.70-2.89, 1 Dy 2.76
6 Ga 0.4080 0.7500 0.6084 (multiplicity 2)  4 Ir 2.51-2.62, 3 Ga 2.61-2.69
7 Ga 0.4547 0.7500 0.0800 (multiplicity 2)  4 Ir 2.61-2.65, 4 Ga 2.69-2.83
8 Ir 0.1368 0.7500 0.0665 (multiplicity 2)  4 Ga 2.54-2.72
9 Ir 0.3153 0.2500 0.4555 (multiplicity 2)  7 Ga 2.48-2.73
10 Ir 0.3466 0.7500 0.8357 (multiplicity 2)  9 Ga 2.61-2.73

Values from the calculation:
As for the energy of formation from the pure elements: -0.46 eV/atom.

# 4
A relaxed Sm7Ho2Er crystal. Source: the Alexandria database, functional PBE-GGA.

Cell lengths 8.7604, 16.7218, 5.5073 Å; angles 90.00, 90.00, 90.00 degrees
With the nearest neighbours (Å) after each atom.
Space group Cmmm (No. 65)
Inequivalent atoms, fractional coordinates:
1 Sm 0.0000 0.0000 0.0000 (multiplicity 2)  4 Sm 3.38, 2 Ho 3.42
2 Sm 0.0000 0.2915 0.5000 (multiplicity 4)  2 Ho 3.11
3 Sm 0.1783 0.3886 0.0000 (multiplicity 8)  2 Sm 3.12-3.38, 2 Ho 3.22-3.45
4 Ho 0.0000 0.2047 0.0000 (multiplicity 4)  7 Sm 3.11-3.45
5 Er 0.0000 0.5000 0.5000 (multiplicity 2)  10 Sm 3.49-3.67

Values from the calculation:
As for the energy of formation from the pure elements: 0.66 eV/atom. The calculation puts the energy relative to the lowest polymorph listed for this composition at 645 meV/atom.

# 5
A relaxed Cs2KGeO4 crystal. Source: the Alexandria database, functional PBE-GGA.

Cell lengths 6.2210, 12.5068, 25.1905 Å; angles 90.00, 90.00, 90.00 degrees
With the nearest neighbours (Å) after each atom.
Space group Fddd (No. 70, origin choice 2)
Inequivalent atoms, fractional coordinates:
1 Cs 0.1250 0.1250 0.3160 (multiplicity 16)  4 O 3.14-3.27
2 K 0.1250 0.1250 0.1250 (multiplicity 8)  4 O 2.57
3 Ge 0.1250 0.1250 0.6250 (multiplicity 8)  4 O 1.79
4 O 0.0367 0.2815 0.8389 (multiplicity 32)  1 Ge 1.79

Values from the calculation:
The raw formation energy is -1.30 eV/atom.

# 6
A relaxed ScTlSn2F8 crystal. Source: the Alexandria database, functional PBE-GGA.

Cell lengths 5.2677, 5.4025, 7.9872 Å; angles 84.52, 87.24, 88.11 degrees
With the nearest neighbours (Å) after each atom.
Space group P-1 (No. 2)
Inequivalent atoms, fractional coordinates:
1 Sc 0.0000 0.0000 0.0000 (multiplicity 1)  6 F 2.04-2.06
2 Tl 0.0000 0.0000 0.5000 (multiplicity 1)  6 F 2.69-2.91
3 Sn 0.4939 0.4938 0.2410 (multiplicity 2)  2 F 2.09-2.20
4 F 0.1639 0.7878 0.8239 (multiplicity 2)  1 Sc 2.04
5 F 0.2301 0.8495 0.1860 (multiplicity 2)  1 Sc 2.05
6 F 0.2614 0.2714 0.9341 (multiplicity 2)  1 Sc 2.06, 1 Sn 2.20
7 F 0.3051 0.3604 0.5728 (multiplicity 2)  1 Sn 2.09

Values from the calculation:
The raw formation energy is -2.76 eV/atom.

# 7
A relaxed NdTmPu2Se4 crystal. Source: the Alexandria database, functional PBE-GGA.

Cell lengths 7.1507, 4.1168, 7.1991 Å; angles 90.00, 109.22, 90.00 degrees
With the nearest neighbours (Å) after each atom.
Space group P2/m (No. 10)
Inequivalent atoms, fractional coordinates:
1 Nd 0.0000 0.0000 0.0000 (multiplicity 1)  6 Se 2.95-2.96
2 Tm 0.5000 0.5000 0.0000 (multiplicity 1)  6 Se 2.88
3 Pu 0.0000 0.5000 0.5000 (multiplicity 1)  6 Se 2.97
4 Pu 0.5000 0.0000 0.5000 (multiplicity 1)  6 Se 2.89-2.90
5 Se 0.2591 0.5000 0.2516 (multiplicity 2)  1 Tm 2.88, 3 Pu 2.89-2.97, 2 Nd 2.96
6 Se 0.2602 0.0000 0.7552 (multiplicity 2)  2 Tm 2.88, 3 Pu 2.90-2.97, 1 Nd 2.95

Values from the calculation:
The raw formation energy is -1.66 eV/atom.

# 8
A relaxed Ta2NiH crystal. Source: the Alexandria database, functional PBE-GGA.

Cell lengths 11.4761, 2.9320, 6.1842 Å; angles 90.00, 90.00, 90.00 degrees
With the nearest neighbours (Å) after each atom.
Space group Pnma (No. 62)
Inequivalent atoms, fractional coordinates:
1 Ta 0.0689 0.2500 0.1835 (multiplicity 4)  3 H 1.90-1.99
2 Ta 0.2136 0.2500 0.7910 (multiplicity 4)  1 H 2.03
3 Ni 0.0869 0.7500 0.5128 (multiplicity 4)  2 Ni 2.48, 6 Ta 2.52-2.69, 2 H 2.75
4 H 0.0433 0.2500 0.8793 (multiplicity 4)  4 Ta 1.90-2.03

Values from the calculation:
The calculation puts the energy relative to the lowest polymorph listed for this composition at 39 meV/atom.

# 9
A relaxed AlAg7 crystal. Source: the Alexandria database, functional PBE-GGA.

Cell lengths 2.9730, 5.9307, 7.9887 Å; angles 90.00, 90.00, 90.00 degrees
With the nearest neighbours (Å) after each atom.
Space group Pmmm (No. 47)
Inequivalent atoms, fractional coordinates:
1 Al 0.0000 0.0000 0.0000 (multiplicity 1)  10 Ag 2.84-2.97, 2 Al 2.97
2 Ag 0.0000 0.0000 0.5000 (multiplicity 1)  12 Ag 2.92-2.97
3 Ag 0.0000 0.5000 0.0000 (multiplicity 1)  10 Ag 2.87-2.97, 2 Al 2.97
4 Ag 0.0000 0.5000 0.5000 (multiplicity 1)  12 Ag 2.96-2.97
5 Ag 0.5000 0.2444 0.2426 (multiplicity 4)  2 Al 2.84, 10 Ag 2.87-3.03

Values from the calculation:
As for the energy of formation from the pure elements: -0.01 eV/atom. The calculation puts the energy relative to the lowest polymorph listed for this composition at 13 meV/atom.

# 10
A relaxed Tb2Ho6Sc crystal. Source: the Alexandria database, functional PBE-GGA.

Cell lengths 11.0717, 4.9530, 10.5088 Å; angles 90.00, 108.39, 90.00 degrees
With the nearest neighbours (Å) after each atom.
Space group C2/m (No. 12)
Inequivalent atoms, fractional coordinates:
1 Tb 0.0018 0.0000 0.1711 (multiplicity 4)  1 Sc 3.46, 10 Ho 3.49-3.53, 1 Tb 3.58
2 Ho 0.1635 0.5000 0.7187 (multiplicity 4)  7 Ho 3.46-3.53, 2 Sc 3.47, 3 Tb 3.49-3.52
3 Ho 0.1664 0.5000 0.0554 (multiplicity 4)  7 Ho 3.50-3.53, 5 Tb 3.51-3.53
4 Ho 0.1685 0.5000 0.3917 (multiplicity 4)  7 Ho 3.46-3.53, 3 Sc 3.48-3.50, 2 Tb 3.49
5 Sc 0.0000 0.0000 0.5000 (multiplicity 2)  2 Tb 3.46, 10 Ho 3.47-3.50

Values from the calculation:
As for the energy of formation from the pure elements: 0.03 eV/atom. The calculation puts the energy relative to the lowest polymorph listed for this composition at 0 meV/atom.

# 11
A relaxed Cs3Ag2H4 crystal. Source: the Alexandria database, functional PBE-GGA.

Cell lengths 5.0628, 8.2488, 12.7867 Å; angles 90.00, 90.00, 90.00 degrees
With the nearest neighbours (Å) after each atom.
Space group Immm (No. 71)
Inequivalent atoms, fractional coordinates:
1 Cs 0.0000 0.0000 0.0000 (multiplicity 2)  4 Ag 3.58, 8 H 3.84
2 Cs 0.0000 0.5000 0.1965 (multiplicity 4)  6 H 3.20
3 Ag 0.0000 0.1937 0.5000 (multiplicity 4)  2 H 1.71
4 H 0.0000 0.2164 0.3672 (multiplicity 8)  1 Ag 1.71

Values from the calculation:
The calculation puts the calculated total energy at -44.7 eV for the cell shown.

# 12
A relaxed Li3BiSb crystal. Source: the Alexandria database, functional PBE-GGA.

Cell lengths 8.4025, 5.3394, 10.1689 Å; angles 90.00, 106.03, 90.00 degrees
With the nearest neighbours (Å) after each atom.
Space group P2_1/c (No. 14)
Inequivalent atoms, fractional coordinates:
1 Li 0.0175 0.2283 0.3804 (multiplicity 4)  3 Sb 2.94-3.25, 3 Bi 3.08-3.23, 1 Li 3.09
2 Li 0.3969 0.6034 0.2254 (multiplicity 4)  3 Sb 2.89-3.04, 2 Bi 2.98-3.02, 6 Li 3.10-3.18
3 Li 0.4002 0.2499 0.4749 (multiplicity 4)  2 Sb 2.92-2.96, 3 Bi 2.99-3.05, 7 Li 3.09-3.18
4 Bi 0.2256 0.7441 0.4348 (multiplicity 4)  9 Li 2.98-3.29, 2 Sb 3.18-3.26
5 Sb 0.2385 0.1190 0.1855 (multiplicity 4)  7 Li 2.89-3.12, 1 Bi 3.18

Values from the calculation:
The calculation puts the energy relative to the lowest polymorph listed for this composition at 8 meV/atom. The raw formation energy is -0.42 eV/atom.